No. 1
DFT (GGA-PBEsol) results for a relaxed MgTlPb2 crystal.

The structure in CIF format:
```
data_MgTlPb2
_symmetry_space_group_name_H-M 'I -4 m 2'
_symmetry_Int_Tables_number 119
_symmetry_space_group_name_Hall 'I -4 -2'
_cell_length_a 4.8024
_cell_length_b 4.8024
_cell_length_c 9.5294
_cell_angle_alpha 90.00
_cell_angle_beta 90.00
_cell_angle_gamma 90.00
loop_
_atom_site_label
_atom_site_type_symbol
_atom_site_fract_x
_atom_site_fract_y
_atom_site_fract_z
Mg1 Mg 0.0000 0.0000 0.0000
Tl1 Tl 0.0000 0.5000 0.7500
Pb1 Pb 0.0000 0.0000 0.5000
Pb2 Pb 0.0000 0.5000 0.2500
```


No. 2
DFT (GGA-PBEsol) results for a relaxed LiInOs crystal.

The structure in CIF format:
```
data_LiInOs
_symmetry_space_group_name_H-M 'P 3 m 1'
_symmetry_Int_Tables_number 156
_cell_length_a 4.4140
_cell_length_b 4.4140
_cell_length_c 2.7041
_cell_angle_alpha 90.00
_cell_angle_beta 90.00
_cell_angle_gamma 120.00
loop_
_symmetry_equiv_pos_as_xyz
'x,y,z'
'-y,x-y,z'
'-x+y,-x,z'
'-y,-x,z'
'-x+y,y,z'
'x,x-y,z'
loop_
_atom_site_label
_atom_site_type_symbol
_atom_site_fract_x
_atom_site_fract_y
_atom_site_fract_z
Li1 Li 0.0000 0.0000 0.0000
In1 In 0.6667 0.3333 0.1536
Os1 Os 0.3333 0.6667 0.6093
```


Number 1: DOS at the Fermi energy 0.448 states/eV per atom, energy -24.83 eV/cell. Number 2: DOS at the Fermi energy 0.366 states/eV per atom, energy -16.46 eV/cell.